VASP calculation (PBE) on ThSc2Bi after structural relaxation.

POSCAR file:
```
ThSc2Bi
1.0
3.5060 0.0000 0.0000
1.7530 3.0363 0.0000
1.7530 1.0121 10.1981
Sc Th Bi
2 1 1
Direct
0.7468 0.7468 0.7594
0.2532 0.2532 0.2406
0.5000 0.5000 0.5000
0.0000 0.0000 0.0000
```

## Properties
Total DFT energy (no corrections)   -6.1487 eV/atom
SG   R-3m
Energy above the most stable polymorph in this dataset   3.759 kcal/mol of atoms
Total magnetization   0.0 μB per cell
N(E_F)   3.6 states/eV/cell